1.
Sc2NiW | Alexandria | PBE-GGA | relaxed; ΔH_f (0 K) = 0.2615 eV/atom; total magnetic moment = 0.00 Bohr magnetons per cell; space-group type = No. 160
1.0
-2.804 8.890 -1.414
-4.572 8.195 0.919
-1.761 9.157 1.396
Sc Ni W
2 1 1
Direct
0.241 0.241 0.241
0.013 0.013 0.013
0.755 0.755 0.755
0.491 0.491 0.491

2.
Sc2NiW | Alexandria | PBE-GGA | relaxed; ΔH_f (0 K) = 0.1748 eV/atom; total magnetic moment = 0.00 Bohr magnetons per cell; space-group type = No. 71
1.0
-2.004 -1.856 -4.530
0.742 -5.194 -0.677
-2.218 3.671 3.097
Sc W Ni
2 1 1
Direct
0.532 0.532 0.000
0.968 0.968 0.000
0.250 0.750 0.500
0.750 0.250 0.500

3.
Sc3NiW | Alexandria | PBE-GGA | relaxed; ΔH_f (0 K) = 0.8960 eV/atom; total magnetic moment = 0.00 Bohr magnetons per cell; space-group type = No. 221
1.0
5.003 0.000 0.000
0.000 5.003 0.000
0.000 0.000 5.003
Ni W Sc
1 1 3
Direct
0.500 0.500 0.500
0.000 0.000 0.000
0.500 0.000 0.000
0.000 0.500 0.000
0.000 0.000 0.500

4.
Sc2NiW | Alexandria | PBE-GGA | relaxed; ΔH_f (0 K) = 0.4150 eV/atom; total magnetic moment = 0.00 Bohr magnetons per cell; space-group type = No. 122
1.0
7.212 0.000 0.000
0.000 7.212 0.000
3.606 3.606 2.765
W Sc Ni
2 4 2
Direct
0.000 0.000 0.000
0.750 0.250 0.500
0.875 0.836 0.750
0.375 0.414 0.750
0.164 0.625 0.250
0.586 0.125 0.250
0.250 0.750 0.500
0.500 0.500 0.000

no.,energy relative to the lowest polymorph listed for this composition (eV/atom)
1,0.288
2,0.201
3,0.342
4,0.442